3
Lattice="-6.0048 0.9943 3.8507 -4.5578 -1.1510 5.1283 0.2683 2.5686 1.2881" Properties=species:S:1:pos:R:3 comment="LiInIr (PBE-GGA, relaxed)" formation_enthalpy_0k_ev_per_atom=0.0777 n_ef_per_ev_cell=1.7 magnetic_moment_mub_per_fu=0.00 pbc="T T T"
In -10.5032 -0.1418 8.9368
Ir -3.2739 1.6773 3.8034
Li -7.0798 0.7196 6.5059